# 1
Computed, not measured: a relaxed structure of LiAcSb2Pd5 at the PBE-GGA level of DFT.

Unit cell a=4.698 b=4.698 c=8.945 alpha=90.00 beta=90.00 gamma=90.00
Positions (direct):
Li: 0.000 0.000 0.000
Ac: 0.000 0.000 0.500
Sb: 0.500 0.500 0.159
Sb: 0.500 0.500 0.841
Pd: 0.000 0.500 0.283
Pd: 0.000 0.500 0.717
Pd: 0.500 0.000 0.283
Pd: 0.500 0.000 0.717
Pd: 0.500 0.500 0.500

Computed properties:
- Density: 8.491 Mg/m³
- Space-group type: P4/mmm, No. 123
- Electronic total energy: -5.00 eV/atom



# 2
Computed, not measured: a relaxed structure of LiAc2Sb3Pd4 at the PBE-GGA level of DFT.

Unit cell a=4.658 b=4.658 c=10.653 alpha=90.00 beta=90.00 gamma=90.00
Positions (direct):
Li: 0.000 0.000 0.000
Ac: 0.000 0.500 0.742
Ac: 0.500 0.000 0.258
Sb: 0.000 0.500 0.367
Sb: 0.500 0.000 0.633
Sb: 0.500 0.500 0.000
Pd: 0.000 0.000 0.500
Pd: 0.000 0.500 0.119
Pd: 0.500 0.000 0.881
Pd: 0.500 0.500 0.500

Computed properties:
- Density: 8.994 Mg/m³
- Space-group type: P-4m2, No. 115
- Electronic total energy: -5.23 eV/atom



- Number 1 is which compound?
  LiAcSb2Pd5



- What is the density in the second record?
  8.994 Mg/m³



- Which value of density does entry 1 give?
  8.491 Mg/m³